# Tb5Pb3Se12 PBE relaxed
data_Tb5Pb3Se12
_space_group_name_H-M_alt 'P 1'
_space_group_IT_number 1
_cell_length_a 14.963
_cell_length_b 14.963
_cell_length_c 14.963
_cell_angle_alpha 109.47
_cell_angle_beta 109.47
_cell_angle_gamma 109.47
loop_
_space_group_symop_operation_xyz
'x,y,z'
loop_
_atom_site_label
_atom_site_fract_x
_atom_site_fract_y
_atom_site_fract_z
_atom_site_occupancy
Tb1 0.750 0.625 0.375 1
Tb2 0.500 0.000 0.000 1
Tb3 0.875 0.625 0.750 1
Tb4 0.500 0.500 0.500 1
Se1 0.219 0.542 0.620 1
Se2 0.958 0.380 0.281 1
Se3 0.099 0.922 0.380 1
Pb1 0.375 0.750 0.625 1
Se4 0.177 0.099 0.719 1
Se5 0.281 0.880 0.958 1
Se6 0.719 0.599 0.177 1
Se7 0.880 0.599 0.922 1
Se8 0.401 0.120 0.578 1
Pb2 0.625 0.375 0.750 1
Tb5 0.125 0.750 0.375 1
Se9 0.219 0.677 0.099 1
Se10 0.578 0.958 0.677 1
Tb6 0.750 0.125 0.875 1
Se11 0.620 0.042 0.219 1
Tb7 0.250 0.375 0.625 1
Se12 0.458 0.677 0.078 1
Se13 0.380 0.422 0.099 1
Pb3 0.625 0.250 0.375 1
Se14 0.120 0.719 0.542 1
Se15 0.422 0.380 0.599 1
Se16 0.922 0.823 0.542 1
Se17 0.781 0.323 0.901 1
Se18 0.781 0.458 0.380 1
Tb8 0.875 0.250 0.625 1
Se19 0.401 0.281 0.323 1
Se20 0.677 0.458 0.578 1
Se21 0.120 0.401 0.078 1
Se22 0.599 0.719 0.677 1
Se23 0.901 0.823 0.781 1
Tb9 0.625 0.875 0.250 1
Pb4 0.750 0.375 0.125 1
Tb10 0.125 0.375 0.250 1
Se24 0.620 0.578 0.901 1
Se25 0.823 0.922 0.042 1
Se26 0.380 0.958 0.781 1
Se27 0.823 0.901 0.281 1
Pb5 0.125 0.875 0.750 1
Se28 0.422 0.042 0.323 1
Se29 0.042 0.620 0.719 1
Tb11 0.000 0.000 0.000 1
Se30 0.323 0.781 0.401 1
Tb12 0.000 0.000 0.500 1
Se31 0.042 0.422 0.823 1
Se32 0.542 0.323 0.922 1
Se33 0.599 0.880 0.422 1
Se34 0.281 0.401 0.823 1
Pb6 0.250 0.625 0.875 1
Se35 0.458 0.781 0.880 1
Pb7 0.250 0.125 0.375 1
Se36 0.578 0.620 0.401 1
Tb13 0.250 0.875 0.125 1
Se37 0.901 0.078 0.620 1
Se38 0.078 0.901 0.120 1
Se39 0.719 0.120 0.042 1
Pb8 0.875 0.125 0.250 1
Pb9 0.125 0.250 0.875 1
Se40 0.542 0.219 0.120 1
Se41 0.958 0.578 0.177 1
Tb14 0.375 0.125 0.750 1
Se42 0.177 0.078 0.958 1
Tb15 0.375 0.250 0.125 1
Tb16 0.000 0.500 0.500 1
Se43 0.323 0.542 0.422 1
Se44 0.078 0.177 0.458 1
Se45 0.922 0.099 0.880 1
Se46 0.099 0.177 0.219 1
Tb17 0.625 0.750 0.875 1
Se47 0.677 0.219 0.599 1
Pb10 0.750 0.875 0.625 1
Pb11 0.375 0.625 0.250 1
Pb12 0.875 0.750 0.125 1
Tb18 0.500 0.500 0.000 1
Se48 0.880 0.281 0.458 1
Tb19 0.500 0.000 0.500 1
Tb20 0.000 0.500 0.000 1
# Calculated total energy = -4.849 eV/atom
# Formation energy (no corrections) = -1.045 eV per atom
# Crystal system = cubic


# Tb3PbSe2 PBE relaxed
data_Tb3PbSe2
_space_group_name_H-M_alt 'P 1'
_space_group_IT_number 1
_cell_length_a 4.248
_cell_length_b 5.998
_cell_length_c 7.304
_cell_angle_alpha 114.24
_cell_angle_beta 106.90
_cell_angle_gamma 90.00
loop_
_space_group_symop_operation_xyz
'x,y,z'
loop_
_atom_site_label
_atom_site_fract_x
_atom_site_fract_y
_atom_site_fract_z
_atom_site_occupancy
Tb1 0.500 0.500 0.000 1
Tb2 0.825 0.825 0.650 1
Tb3 0.175 0.175 0.350 1
Se1 0.836 0.336 0.672 1
Se2 0.164 0.664 0.328 1
Pb1 0.500 0.000 0.000 1
# Calculated total energy = -5.459 eV/atom
# Formation energy (no corrections) = -1.364 eV per atom
# Crystal system = orthorhombic